[1]
DFT (PBE) results for an optimized crystal structure of YRhW3.

Cell lengths 4.7306, 4.7306, 4.7306 Å; angles 90.00, 90.00, 90.00 degrees
Closest atoms and distances in Å follow each position.
Space group Pm-3m (No. 221)
Inequivalent atoms, fractional coordinates:
Y1 0.0000 0.0000 0.0000 x1  6 W 2.37
Rh1 0.5000 0.5000 0.5000 x1  12 W 3.35
W1 0.0000 0.0000 0.5000 x3  2 Y 2.37

## Properties
Its calculated total energy is -7.397 eV/atom. For the energy relative to the lowest polymorph listed for this composition, the calculation gives 1.663 eV/atom. As for the density of states at the Fermi level: 1.236 states/eV per atom. The value obtained for the formation energy is 1514 kJ/mol of formula units.

[2]
DFT (PBE) results for an optimized crystal structure of Hf3BeMo.

Cell lengths 4.9802, 4.9802, 4.9802 Å; angles 90.00, 90.00, 90.00 degrees
Closest atoms and distances in Å follow each position.
Space group Pm-3m (No. 221)
Inequivalent atoms, fractional coordinates:
Hf1 0.0000 0.0000 0.5000 x3  2 Mo 2.49
Be1 0.5000 0.5000 0.5000 x1  12 Hf 3.52
Mo1 0.0000 0.0000 0.0000 x1  6 Hf 2.49

## Properties
Its calculated total energy is -7.711 eV/atom. For the energy relative to the lowest polymorph listed for this composition, the calculation gives 0.553 eV/atom. As for the density of states at the Fermi level: 1.341 states/eV per atom. The value obtained for the formation energy is 566 kJ/mol of formula units.

[3]
DFT (PBE) results for an optimized crystal structure of RbTa2Tl2S7.

Cell lengths 7.2328, 7.2328, 32.0241 Å; angles 90.00, 90.00, 120.00 degrees
Closest atoms and distances in Å follow each position.
Space group R32 (No. 155, hexagonal axes)
Inequivalent atoms, fractional coordinates:
Rb1 0.0000 0.0000 0.0000 x3  6 S 3.43
Ta1 0.0000 0.0000 0.4269 x6  4 S 2.26-2.34
Tl1 0.0000 0.0000 0.2185 x6  3 S 2.90
S1 0.0000 0.0000 0.5000 x3  2 Ta 2.34
S2 0.0089 0.2985 0.4030 x18  1 Ta 2.26

## Properties
Its calculated total energy is -5.555 eV/atom. As for the density of states at the Fermi level: 1.049 states/eV per atom. For the uncorrected formation energy, the calculation gives -696.5 meV/atom.